(1)
# Sm3ErPb2C | Alexandria via LeMat-Bulk | PBE-GGA | relaxed
# E_form: -0.534 eV/atom
data_Sm3ErPb2C
_chemical_formula_sum 'Sm6 Er2 Pb4 C2'
_cell_length_a 4.825
_cell_length_b 4.946
_cell_length_c 16.468
_cell_angle_alpha 90.00
_cell_angle_beta 90.00
_cell_angle_gamma 90.00
_symmetry_space_group_name_H-M 'I m m m'
_symmetry_Int_Tables_number 71
_symmetry_space_group_name_Hall '-I 2 2'
loop_
_atom_site_label
_atom_site_fract_x
_atom_site_fract_y
_atom_site_fract_z
Sm1 0.000 0.000 0.000
Sm2 0.000 0.500 0.159
Er1 0.000 0.000 0.500
Pb1 0.000 0.500 0.360
C1 0.000 0.500 0.000

---

(2)
# Rb2Sc3Se6 | Alexandria via LeMat-Bulk | PBE-GGA | relaxed
# E_form (uncorrected): -1.530 eV per atom
data_Rb2Sc3Se6
_chemical_formula_sum 'Rb4 Sc6 Se12'
_cell_length_a 6.732
_cell_length_b 11.659
_cell_length_c 8.587
_cell_angle_alpha 90.00
_cell_angle_beta 105.16
_cell_angle_gamma 90.00
_symmetry_space_group_name_H-M 'C 1 2/m 1'
_symmetry_Int_Tables_number 12
loop_
_symmetry_equiv_pos_as_xyz
'x,y,z'
'-x,-y,-z'
'-x,y,-z'
'x,-y,z'
'x+1/2,y+1/2,z'
'-x+1/2,-y+1/2,-z'
'-x+1/2,y+1/2,-z'
'x+1/2,-y+1/2,z'
loop_
_atom_site_label
_atom_site_fract_x
_atom_site_fract_y
_atom_site_fract_z
Rb1 0.000 0.167 0.000
Sc1 0.000 0.000 0.500
Sc2 0.000 0.333 0.500
Se1 0.227 0.500 0.687
Se2 0.230 0.166 0.687

---

(3)
# SrNiCl2 | Alexandria via LeMat-Bulk | PBE-GGA | relaxed
# E_form (uncorrected): -1.229 eV per atom
# Energy relative to the lowest polymorph listed for this composition: 0.000 eV per atom
data_SrNiCl2
_chemical_formula_sum 'Sr2 Ni2 Cl4'
_cell_length_a 9.397
_cell_length_b 4.396
_cell_length_c 5.018
_cell_angle_alpha 90.00
_cell_angle_beta 91.14
_cell_angle_gamma 90.00
_symmetry_space_group_name_H-M 'C 1 2/m 1'
_symmetry_Int_Tables_number 12
loop_
_symmetry_equiv_pos_as_xyz
'x,y,z'
'-x,-y,-z'
'-x,y,-z'
'x,-y,z'
'x+1/2,y+1/2,z'
'-x+1/2,-y+1/2,-z'
'-x+1/2,y+1/2,-z'
'x+1/2,-y+1/2,z'
loop_
_atom_site_label
_atom_site_fract_x
_atom_site_fract_y
_atom_site_fract_z
Sr1 0.000 0.000 0.000
Ni1 0.000 0.500 0.500
Cl1 0.173 0.500 0.770

---

(4)
# CeTm2Mg | Alexandria via LeMat-Bulk | PBE-GGA | relaxed
# Energy relative to the lowest polymorph listed for this composition: 0.000 eV per atom
# E_form: 0.011 eV/atom
data_CeTm2Mg
_chemical_formula_sum 'Ce1 Tm2 Mg1'
_cell_length_a 3.479
_cell_length_b 3.479
_cell_length_c 9.251
_cell_angle_alpha 90.00
_cell_angle_beta 90.00
_cell_angle_gamma 90.00
_symmetry_space_group_name_H-M 'P 4/m m m'
_symmetry_Int_Tables_number 123
_symmetry_space_group_name_Hall '-P 4 2'
loop_
_atom_site_label
_atom_site_fract_x
_atom_site_fract_y
_atom_site_fract_z
Ce1 0.000 0.000 0.000
Tm1 0.500 0.500 0.256
Mg1 0.000 0.000 0.500

---

(5)
# ZnSCl2 | Alexandria via LeMat-Bulk | PBE-GGA | relaxed
# E_form (uncorrected): -0.084 eV per atom
# Energy relative to the lowest polymorph listed for this composition: 0.000 eV per atom
data_ZnSCl2
_chemical_formula_sum 'Zn4 S4 Cl8'
_cell_length_a 6.974
_cell_length_b 6.974
_cell_length_c 9.456
_cell_angle_alpha 90.00
_cell_angle_beta 90.00
_cell_angle_gamma 90.00
_symmetry_space_group_name_H-M 'I -4 2 d'
_symmetry_Int_Tables_number 122
_symmetry_space_group_name_Hall 'I -4 2bw'
loop_
_atom_site_label
_atom_site_fract_x
_atom_site_fract_y
_atom_site_fract_z
Zn1 0.000 0.000 0.000
S1 0.000 0.000 0.500
Cl1 0.137 0.250 0.125

---

(6)
# TmTlI | Alexandria via LeMat-Bulk | PBE-GGA | relaxed
# E_form (uncorrected): -0.478 eV per atom
# Energy relative to the lowest polymorph listed for this composition: 0.159 eV per atom
data_TmTlI
_chemical_formula_sum 'Tm2 Tl2 I2'
_cell_length_a 7.028
_cell_length_b 3.873
_cell_length_c 7.483
_cell_angle_alpha 90.00
_cell_angle_beta 95.35
_cell_angle_gamma 90.00
_symmetry_space_group_name_H-M 'P 1 21/m 1'
_symmetry_Int_Tables_number 11
loop_
_symmetry_equiv_pos_as_xyz
'x,y,z'
'-x,-y,-z'
'-x,y+1/2,-z'
'x,-y+1/2,z'
loop_
_atom_site_label
_atom_site_fract_x
_atom_site_fract_y
_atom_site_fract_z
Tm1 0.014 0.250 0.289
Tl1 0.344 0.750 0.432
I1 0.243 0.250 0.949

---

(7)
# Ta2BeOs | Alexandria via LeMat-Bulk | PBE-GGA | relaxed
# E_form: -0.144 eV/atom
data_Ta2BeOs
_chemical_formula_sum 'Ta2 Be1 Os1'
_cell_length_a 3.077
_cell_length_b 3.077
_cell_length_c 6.369
_cell_angle_alpha 90.00
_cell_angle_beta 90.00
_cell_angle_gamma 90.00
_symmetry_space_group_name_H-M 'P 4 m m'
_symmetry_Int_Tables_number 99
loop_
_symmetry_equiv_pos_as_xyz
'x,y,z'
'-y,x,z'
'-x,-y,z'
'y,-x,z'
'-x,y,z'
'y,x,z'
'x,-y,z'
'-y,-x,z'
loop_
_atom_site_label
_atom_site_fract_x
_atom_site_fract_y
_atom_site_fract_z
Ta1 0.000 0.000 0.000
Ta2 0.500 0.500 0.313
Be1 0.000 0.000 0.571
Os1 0.500 0.500 0.747

---

(8)
# La2Cd3 | Alexandria via LeMat-Bulk | PBE-GGA | relaxed
# Energy relative to the lowest polymorph listed for this composition: 0.254 eV per atom
# E_form: -0.082 eV/atom
data_La2Cd3
_chemical_formula_sum 'La2 Cd3'
_cell_length_a 5.3385
_cell_length_b 5.3385
_cell_length_c 6.8202
_cell_angle_alpha 90.00
_cell_angle_beta 90.00
_cell_angle_gamma 120.00
_symmetry_space_group_name_H-M 'P -3 m 1'
_symmetry_Int_Tables_number 164
_symmetry_space_group_name_Hall '-P 3 2"'
loop_
_atom_site_label
_atom_site_fract_x
_atom_site_fract_y
_atom_site_fract_z
La1 0.3333 0.6667 0.3227
Cd1 0.0000 0.0000 0.5000
Cd2 0.3333 0.6667 0.8442

---

(9)
# Ag2Se | Alexandria via LeMat-Bulk | PBE-GGA | relaxed
# E_form (uncorrected): -0.039 eV per atom
data_Ag2Se
_chemical_formula_sum 'Ag12 Se6'
_cell_length_a 6.160
_cell_length_b 6.937
_cell_length_c 9.673
_cell_angle_alpha 90.00
_cell_angle_beta 106.89
_cell_angle_gamma 90.00
_symmetry_space_group_name_H-M 'C 1 m 1'
_symmetry_Int_Tables_number 8
loop_
_symmetry_equiv_pos_as_xyz
'x,y,z'
'x,-y,z'
'x+1/2,y+1/2,z'
'x+1/2,-y+1/2,z'
loop_
_atom_site_label
_atom_site_fract_x
_atom_site_fract_y
_atom_site_fract_z
Ag1 0.000 0.210 0.000
Ag2 0.132 0.217 0.335
Ag3 0.369 0.283 0.665
Se1 0.000 0.500 0.500
Se2 0.221 0.000 0.835
Se3 0.279 0.500 0.166

---

(10)
# CePr2Y3 | Alexandria via LeMat-Bulk | PBE-GGA | relaxed
# E_form: 0.170 eV/atom
data_CePr2Y3
_chemical_formula_sum 'Ce4 Pr8 Y12'
_cell_length_a 16.801
_cell_length_b 6.960
_cell_length_c 7.060
_cell_angle_alpha 90.00
_cell_angle_beta 102.10
_cell_angle_gamma 90.00
_symmetry_space_group_name_H-M 'C 1 2/c 1'
_symmetry_Int_Tables_number 15
loop_
_symmetry_equiv_pos_as_xyz
'x,y,z'
'-x,-y,-z'
'-x,y,-z+1/2'
'x,-y,z+1/2'
'x+1/2,y+1/2,z'
'-x+1/2,-y+1/2,-z'
'-x+1/2,y+1/2,-z+1/2'
'x+1/2,-y+1/2,z+1/2'
loop_
_atom_site_label
_atom_site_fract_x
_atom_site_fract_y
_atom_site_fract_z
Ce1 0.000 0.244 0.250
Pr1 0.144 0.498 0.572
Y1 0.000 0.226 0.750
Y2 0.166 0.001 0.083

---

(11)
# CsIn2CuSb | Alexandria via LeMat-Bulk | PBE-GGA | relaxed
# E_form (uncorrected): 1.239 eV per atom
data_CsIn2CuSb
_chemical_formula_sum 'Cs1 In2 Cu1 Sb1'
_cell_length_a 6.393
_cell_length_b 6.393
_cell_length_c 5.331
_cell_angle_alpha 90.00
_cell_angle_beta 90.00
_cell_angle_gamma 90.00
_symmetry_space_group_name_H-M 'P 4/m m m'
_symmetry_Int_Tables_number 123
_symmetry_space_group_name_Hall '-P 4 2'
loop_
_atom_site_label
_atom_site_fract_x
_atom_site_fract_y
_atom_site_fract_z
Cs1 0.000 0.000 0.000
In1 0.000 0.500 0.000
Cu1 0.000 0.000 0.500
Sb1 0.500 0.500 0.500

---

(12)
# LiCoP2 | Alexandria via LeMat-Bulk | PBE-GGA | relaxed
# Energy relative to the lowest polymorph listed for this composition: 0.000 eV per atom
# E_form: -0.395 eV/atom
data_LiCoP2
_chemical_formula_sum 'Li2 Co2 P4'
_cell_length_a 6.875
_cell_length_b 3.225
_cell_length_c 5.195
_cell_angle_alpha 90.00
_cell_angle_beta 103.04
_cell_angle_gamma 90.00
_symmetry_space_group_name_H-M 'C 1 2/m 1'
_symmetry_Int_Tables_number 12
loop_
_symmetry_equiv_pos_as_xyz
'x,y,z'
'-x,-y,-z'
'-x,y,-z'
'x,-y,z'
'x+1/2,y+1/2,z'
'-x+1/2,-y+1/2,-z'
'-x+1/2,y+1/2,-z'
'x+1/2,-y+1/2,z'
loop_
_atom_site_label
_atom_site_fract_x
_atom_site_fract_y
_atom_site_fract_z
Li1 0.000 0.000 0.000
Co1 0.000 0.500 0.500
P1 0.229 0.000 0.670